DFT (PBE) results for an optimized crystal structure of Hf8Bi2Mo.

Unit cell a=7.610 b=7.610 c=7.910 alpha=121.17 beta=121.17 gamma=39.47
Element x y z (fractional)
Hf  0.049  0.049  0.239
Hf  0.125  0.125  0.666
Hf  0.330  0.330  0.604
Hf  0.418  0.418  0.067
Hf  0.582  0.582  0.933
Hf  0.670  0.670  0.396
Hf  0.875  0.875  0.334
Hf  0.951  0.951  0.761
Bi  0.225  0.225  0.146
Bi  0.775  0.775  0.854
Mo  0.500  0.500  0.500

Computed properties:
DFT formation energy in eV/atom: -0.03
ρ in g/cm³: 13.26

=====

DFT (PBE) results for an optimized crystal structure of Ce2Ga6Au.

Unit cell a=4.788 b=4.788 c=8.608 alpha=90.00 beta=90.00 gamma=90.00
Element x y z (fractional)
Ce  0.000  0.000  0.244
Ce  0.000  0.000  0.756
Ga  0.000  0.500  0.000
Ga  0.000  0.500  0.500
Ga  0.500  0.000  0.000
Ga  0.500  0.000  0.500
Ga  0.500  0.500  0.184
Ga  0.500  0.500  0.816
Au  0.500  0.500  0.500

Computed properties:
DFT formation energy in eV/atom: -0.28
ρ in g/cm³: 7.54

=====

DFT (PBE) results for an optimized crystal structure of TcMo2P.

Unit cell a=5.136 b=5.136 c=4.347 alpha=115.02 beta=115.02 gamma=33.96
Element x y z (fractional)
Tc  0.000  0.000  0.000
Mo  0.555  0.555  0.555
Mo  0.774  0.774  0.274
P  0.283  0.283  0.785

Computed properties:
DFT formation energy in eV/atom: -0.17
ρ in g/cm³: 9.27

=====

DFT (PBE) results for an optimized crystal structure of AcTbPd.

Unit cell a=7.327 b=6.471 c=10.460 alpha=90.00 beta=128.35 gamma=90.00
Element x y z (fractional)
Ac  0.195  0.142  0.389
Ac  0.195  0.358  0.889
Ac  0.805  0.642  0.111
Ac  0.805  0.858  0.611
Tb  0.329  0.631  0.632
Tb  0.329  0.869  0.132
Tb  0.671  0.131  0.868
Tb  0.671  0.369  0.368
Pd  0.329  0.630  0.358
Pd  0.329  0.870  0.858
Pd  0.671  0.130  0.142
Pd  0.671  0.370  0.642

Computed properties:
Offset from the most stable computed form in eV per atom: 0.0925
DFT formation energy in eV/atom: -0.46
ρ in g/cm³: 8.41

=====

DFT (PBE) results for an optimized crystal structure of ZrCdRe.

Unit cell a=4.597 b=4.597 c=4.597 alpha=60.00 beta=60.00 gamma=60.00
Element x y z (fractional)
Zr  0.000  0.000  0.000
Cd  0.250  0.250  0.250
Re  0.750  0.750  0.750

Computed properties:
Offset from the most stable computed form in eV per atom: 0.8515
DFT formation energy in eV/atom: 1.04
ρ in g/cm³: 9.42

=====

DFT (PBE) results for an optimized crystal structure of Cs2OsNCl6.

Unit cell a=7.612 b=7.612 c=7.612 alpha=60.00 beta=60.00 gamma=60.00
Element x y z (fractional)
Cs  0.250  0.250  0.250
Cs  0.750  0.750  0.750
Os  0.000  0.000  0.000
N  0.500  0.500  0.500
Cl  0.219  0.219  0.781
Cl  0.219  0.781  0.219
Cl  0.219  0.781  0.781
Cl  0.781  0.219  0.219
Cl  0.781  0.219  0.781
Cl  0.781  0.781  0.219

Computed properties:
ρ in g/cm³: 3.63
E in eV for the cell shown: -37.95

=====

DFT (PBE) results for an optimized crystal structure of AcGdSnAu.

Unit cell a=5.494 b=5.494 c=5.494 alpha=60.00 beta=60.00 gamma=60.00
Element x y z (fractional)
Ac  0.000  0.000  0.000
Gd  0.500  0.500  0.500
Sn  0.750  0.750  0.750
Au  0.250  0.250  0.250

Computed properties:
DFT formation energy in eV/atom: -0.68
ρ in g/cm³: 9.91

=====

DFT (PBE) results for an optimized crystal structure of Fe3CuC.

Unit cell a=4.323 b=4.323 c=4.323 alpha=90.00 beta=90.00 gamma=90.00
Element x y z (fractional)
Fe  0.000  0.000  0.500
Fe  0.000  0.500  0.000
Fe  0.500  0.000  0.000
Cu  0.000  0.000  0.000
C  0.500  0.500  0.500

Computed properties:
Offset from the most stable computed form in eV per atom: 2.1135
DFT formation energy in eV/atom: 2.26
ρ in g/cm³: 5.00

=====

DFT (PBE) results for an optimized crystal structure of Nb3SbO.

Unit cell a=4.319 b=4.319 c=4.319 alpha=90.00 beta=90.00 gamma=90.00
Element x y z (fractional)
Nb  0.000  0.000  0.500
Nb  0.000  0.500  0.000
Nb  0.500  0.000  0.000
Sb  0.500  0.500  0.500
O  0.000  0.000  0.000

Computed properties:
Offset from the most stable computed form in eV per atom: 0.0000
ρ in g/cm³: 8.58

=====

DFT (PBE) results for an optimized crystal structure of YHgF2.

Unit cell a=9.326 b=9.326 c=9.326 alpha=22.74 beta=22.74 gamma=22.74
Element x y z (fractional)
Y  0.000  0.000  0.000
Hg  0.500  0.500  0.500
F  0.075  0.075  0.075
F  0.925  0.925  0.925

Computed properties:
Offset from the most stable computed form in eV per atom: 0.6163
ρ in g/cm³: 5.11

=====

DFT (PBE) results for an optimized crystal structure of CuRhCl2.

Unit cell a=3.236 b=3.236 c=7.309 alpha=90.00 beta=90.00 gamma=90.00
Element x y z (fractional)
Cu  0.000  0.000  0.000
Rh  0.500  0.500  0.196
Cl  0.000  0.000  0.393
Cl  0.500  0.500  0.847

Computed properties:
Offset from the most stable computed form in eV per atom: 0.2730
ρ in g/cm³: 5.15

=====

DFT (PBE) results for an optimized crystal structure of LaYBr2.

Unit cell a=3.769 b=3.769 c=10.659 alpha=90.00 beta=90.00 gamma=112.06
Element x y z (fractional)
La  0.000  0.000  0.000
Y  0.500  0.500  0.265
Br  0.000  0.000  0.446
Br  0.500  0.500  0.802

Computed properties:
Offset from the most stable computed form in eV per atom: 0.1093
ρ in g/cm³: 4.59

=====

DFT (PBE) results for an optimized crystal structure of Ac5Tl4Pb.

Unit cell a=4.151 b=4.151 c=20.598 alpha=90.00 beta=90.00 gamma=90.00
Element x y z (fractional)
Ac  0.000  0.000  0.000
Ac  0.000  0.000  0.199
Ac  0.000  0.000  0.398
Ac  0.000  0.000  0.602
Ac  0.000  0.000  0.801
Tl  0.500  0.500  0.100
Tl  0.500  0.500  0.297
Tl  0.500  0.500  0.703
Tl  0.500  0.500  0.900
Pb  0.500  0.500  0.500

Computed properties:
DFT formation energy in eV/atom: -0.38
ρ in g/cm³: 10.10

=====

DFT (PBE) results for an optimized crystal structure of Al2ZnOs.

Unit cell a=2.800 b=2.800 c=8.843 alpha=90.00 beta=90.00 gamma=117.66
Element x y z (fractional)
Al  0.000  0.000  0.000
Al  0.500  0.500  0.264
Zn  0.500  0.500  0.742
Os  0.000  0.000  0.494

Computed properties:
DFT formation energy in eV/atom: 0.14
ρ in g/cm³: 8.37

=====

DFT (PBE) results for an optimized crystal structure of Tl4In3Pb2.

Unit cell a=3.590 b=3.590 c=24.392 alpha=90.00 beta=90.00 gamma=120.00
Element x y z (fractional)
Tl  0.000  0.000  0.000
Tl  0.000  0.000  0.211
Tl  0.333  0.667  0.325
Tl  0.333  0.667  0.536
In  0.000  0.000  0.431
In  0.333  0.667  0.104
In  0.333  0.667  0.760
Pb  0.000  0.000  0.650
Pb  0.000  0.000  0.869

Computed properties:
Offset from the most stable computed form in eV per atom: 0.0228
DFT formation energy in eV/atom: 0.04
ρ in g/cm³: 9.62

=====

DFT (PBE) results for an optimized crystal structure of LiPmSmCu.

Unit cell a=5.147 b=5.147 c=5.147 alpha=60.00 beta=60.00 gamma=60.00
Element x y z (fractional)
Li  0.000  0.000  0.000
Pm  0.250  0.250  0.250
Sm  0.750  0.750  0.750
Cu  0.500  0.500  0.500

Computed properties:
DFT formation energy in eV/atom: 0.01
ρ in g/cm³: 6.30

=====

DFT (PBE) results for an optimized crystal structure of YBiRu2Cl.

Unit cell a=4.979 b=4.979 c=6.029 alpha=90.00 beta=90.00 gamma=90.00
Element x y z (fractional)
Y  0.000  0.000  0.000
Bi  0.000  0.000  0.500
Ru  0.000  0.500  0.000
Ru  0.500  0.000  0.000
Cl  0.500  0.500  0.500

Computed properties:
ρ in g/cm³: 5.95
E in eV for the cell shown: -23.50

=====

DFT (PBE) results for an optimized crystal structure of Sm2Y2Zn3.

Unit cell a=5.045 b=5.045 c=8.716 alpha=106.83 beta=106.83 gamma=60.06
Element x y z (fractional)
Sm  0.128  0.128  0.381
Sm  0.872  0.872  0.619
Y  0.378  0.378  0.132
Y  0.622  0.622  0.868
Zn  0.000  0.000  0.000
Zn  0.253  0.253  0.761
Zn  0.747  0.747  0.239

Computed properties:
DFT formation energy in eV/atom: -0.20
ρ in g/cm³: 6.18

=====

DFT (PBE) results for an optimized crystal structure of SmY6Ho3Tm2.

Unit cell a=6.144 b=6.144 c=11.774 alpha=94.97 beta=94.97 gamma=119.94
Element x y z (fractional)
Sm  0.000  0.000  0.000
Y  0.084  0.418  0.250
Y  0.250  0.250  0.750
Y  0.418  0.084  0.250
Y  0.582  0.916  0.750
Y  0.750  0.750  0.250
Y  0.916  0.582  0.750
Ho  0.167  0.833  0.500
Ho  0.500  0.500  0.500
Ho  0.833  0.167  0.500
Tm  0.333  0.667  0.000
Tm  0.667  0.333  0.000

Computed properties:
DFT formation energy in eV/atom: 0.02
ρ in g/cm³: 6.64

=====

DFT (PBE) results for an optimized crystal structure of CeHoTm2Sb4.

Unit cell a=7.589 b=4.390 c=7.595 alpha=90.00 beta=109.47 gamma=90.00
Element x y z (fractional)
Ce  0.000  0.000  0.000
Ho  0.000  0.500  0.500
Tm  0.500  0.000  0.500
Tm  0.500  0.500  0.000
Sb  0.254  0.000  0.749
Sb  0.257  0.500  0.256
Sb  0.743  0.500  0.744
Sb  0.746  0.000  0.251

Computed properties:
ρ in g/cm³: 7.86
E in eV for the cell shown: -44.51

=====

DFT (PBE) results for an optimized crystal structure of Ca6Mg23.

Unit cell a=10.305 b=10.305 c=10.305 alpha=60.00 beta=60.00 gamma=60.00
Element x y z (fractional)
Ca  0.205  0.205  0.795
Ca  0.205  0.795  0.205
Ca  0.205  0.795  0.795
Ca  0.795  0.205  0.205
Ca  0.795  0.205  0.795
Ca  0.795  0.795  0.205
Mg  0.000  0.000  0.500
Mg  0.000  0.500  0.000
Mg  0.000  0.500  0.500
Mg  0.137  0.621  0.621
Mg  0.171  0.171  0.171
Mg  0.171  0.171  0.486
Mg  0.171  0.486  0.171
Mg  0.379  0.379  0.379
Mg  0.379  0.379  0.863
Mg  0.379  0.863  0.379
Mg  0.486  0.171  0.171
Mg  0.500  0.000  0.000
Mg  0.500  0.000  0.500
Mg  0.500  0.500  0.000
Mg  0.500  0.500  0.500
Mg  0.514  0.829  0.829
Mg  0.621  0.137  0.621
Mg  0.621  0.621  0.137
Mg  0.621  0.621  0.621
Mg  0.829  0.514  0.829
Mg  0.829  0.829  0.514
Mg  0.829  0.829  0.829
Mg  0.863  0.379  0.379

Computed properties:
DFT formation energy in eV/atom: -0.06
ρ in g/cm³: 1.72

=====

DFT (PBE) results for an optimized crystal structure of LaTbPr2Sm5.

Unit cell a=10.151 b=10.151 c=10.151 alpha=128.12 beta=128.12 gamma=76.42
Element x y z (fractional)
La  0.250  0.250  0.000
La  0.750  0.750  0.000
Tb  0.250  0.750  0.500
Tb  0.750  0.250  0.500
Pr  0.118  0.618  0.737
Pr  0.382  0.118  0.500
Pr  0.618  0.882  0.500
Pr  0.882  0.382  0.263
Sm  0.000  0.000  0.000
Sm  0.071  0.153  0.500
Sm  0.153  0.653  0.082
Sm  0.347  0.429  0.500
Sm  0.429  0.929  0.082
Sm  0.500  0.500  0.000
Sm  0.571  0.071  0.918
Sm  0.653  0.571  0.500
Sm  0.847  0.347  0.918
Sm  0.929  0.847  0.500

Computed properties:
DFT formation energy in eV/atom: 0.25
ρ in g/cm³: 7.03

=====

DFT (PBE) results for an optimized crystal structure of SrTa4Be.

Unit cell a=5.659 b=5.659 c=5.659 alpha=60.00 beta=60.00 gamma=60.00
Element x y z (fractional)
Sr  0.000  0.000  0.000
Ta  0.119  0.627  0.627
Ta  0.627  0.119  0.627
Ta  0.627  0.627  0.119
Ta  0.627  0.627  0.627
Be  0.250  0.250  0.250

Computed properties:
DFT formation energy in eV/atom: 0.91
ρ in g/cm³: 10.63

=====

DFT (PBE) results for an optimized crystal structure of Li2Hg2Pd2Pb.

Unit cell a=4.692 b=4.692 c=7.377 alpha=106.41 beta=106.41 gamma=57.93
Element x y z (fractional)
Li  0.146  0.146  0.438
Li  0.854  0.854  0.562
Hg  0.425  0.425  0.294
Hg  0.575  0.575  0.706
Pd  0.285  0.285  0.841
Pd  0.715  0.715  0.159
Pb  0.000  0.000  0.000

Computed properties:
DFT formation energy in eV/atom: -0.30
ρ in g/cm³: 10.65

=====

DFT (PBE) results for an optimized crystal structure of K2ZnRe.

Unit cell a=3.482 b=3.482 c=10.180 alpha=90.00 beta=90.00 gamma=90.00
Element x y z (fractional)
K  0.000  0.000  0.000
K  0.500  0.500  0.423
Zn  0.500  0.500  0.742
Re  0.000  0.000  0.680

Computed properties:
DFT formation energy in eV/atom: 0.88
ρ in g/cm³: 4.44